Entry 1:
Computed, not measured: crystalline SrBeZn2 at its relaxed geometry at the PBE level of DFT.

Computed properties:
* ΔE_f: 0.2343 eV per atom
* space-group type: P4/mmm, No. 123
* E: -1.755 eV per atom

Lattice parameters (Å, degrees): 3.208 3.209 7.385 90.00 90.00 90.08
Element x y z (fractional)
Sr  0.500  0.500  0.750
Zn  0.000  0.000  0.075
Zn  0.000  0.000  0.425
Be  0.500  0.500  0.250

***

Entry 2:
Computed, not measured: crystalline SrBeZn2 at its relaxed geometry at the PBE level of DFT.

Computed properties:
* ΔE_f: -0.0514 eV per atom
* space-group type: Cm, No. 8
* E: -2.040 eV per atom

Lattice parameters (Å, degrees): 4.194 4.194 6.056 69.55 69.55 60.04
Element x y z (fractional)
Sr  0.247  0.247  0.260
Zn  0.057  0.057  0.829
Zn  0.763  0.763  0.712
Be  0.433  0.433  0.699

***

Entry 3:
Computed, not measured: crystalline SrBeZn3 at its relaxed geometry at the PBE level of DFT.

Computed properties:
* distance to the lowest polymorph of the same formula: 0 meV per atom
* ΔE_f: -0.0036 eV per atom
* space-group type: Pm-3m, No. 221
* E: -1.850 eV per atom

Lattice parameters (Å, degrees): 4.588 4.588 4.588 90.00 90.00 90.00
Element x y z (fractional)
Sr  0.500  0.500  0.500
Zn  0.000  0.500  0.000
Zn  0.000  0.000  0.500
Zn  0.500  0.000  0.000
Be  0.000  0.000  0.000

***

Entry 4:
Computed, not measured: crystalline SrBeZn2 at its relaxed geometry at the PBE level of DFT.

Computed properties:
* ΔE_f: 0.5414 eV per atom
* space-group type: C2/m, No. 12
* E: -1.448 eV per atom

Lattice parameters (Å, degrees): 5.854 5.203 3.318 83.41 76.56 114.32
Element x y z (fractional)
Sr  0.500  0.000  0.500
Zn  0.000  0.000  0.000
Zn  0.000  0.500  0.500
Be  0.500  0.500  0.000

***

Entry 5:
Computed, not measured: crystalline Sr2BeZn at its relaxed geometry at the PBE level of DFT.

Computed properties:
* distance to the lowest polymorph of the same formula: 89 meV per atom
* ΔE_f: 0.1718 eV per atom
* space-group type: Imm2, No. 44
* E: -1.919 eV per atom

Lattice parameters (Å, degrees): 6.296 6.296 5.363 64.84 64.84 34.87
Element x y z (fractional)
Sr  0.970  0.970  0.030
Sr  0.773  0.773  0.727
Zn  0.563  0.563  0.437
Be  0.195  0.195  0.306

***

Entry 6:
Computed, not measured: crystalline SrBeZn at its relaxed geometry at the PBE level of DFT.

Computed properties:
* distance to the lowest polymorph of the same formula: 0 meV per atom
* ΔE_f: 0.1134 eV per atom
* space-group type: P-6m2, No. 187
* E: -2.114 eV per atom

Lattice parameters (Å, degrees): 4.243 4.243 4.478 90.00 90.00 120.00
Element x y z (fractional)
Sr  0.667  0.333  0.333
Zn  0.333  0.667  0.833
Be  0.000  0.000  0.833

***

Entry 7:
Computed, not measured: crystalline Sr2BeZn at its relaxed geometry at the PBE level of DFT.

Computed properties:
* distance to the lowest polymorph of the same formula: 187 meV per atom
* ΔE_f: 0.2694 eV per atom
* space-group type: P4mm, No. 99
* E: -1.822 eV per atom

Lattice parameters (Å, degrees): 3.620 3.620 8.829 90.00 90.00 90.00
Element x y z (fractional)
Sr  0.000  0.000  0.919
Sr  0.500  0.500  0.329
Zn  0.000  0.000  0.568
Be  0.500  0.500  0.684

***

Entry 8:
Computed, not measured: crystalline SrBeZn2 at its relaxed geometry at the PBE level of DFT.

Computed properties:
* ΔE_f: 0.0695 eV per atom
* space-group type: Pm, No. 6
* E: -1.919 eV per atom

Lattice parameters (Å, degrees): 4.273 4.471 4.912 89.68 90.00 90.00
Element x y z (fractional)
Sr  0.500  0.761  0.749
Zn  0.000  0.975  0.248
Zn  0.500  0.289  0.251
Be  0.000  0.475  0.252

***

Entry 9:
Computed, not measured: crystalline SrZrBe4 at its relaxed geometry at the PBE level of DFT.

Computed properties:
* ΔE_f: 0.3301 eV per atom
* space-group type: F-43m, No. 216
* E: -3.859 eV per atom

Lattice parameters (Å, degrees): 5.029 5.029 5.029 60.00 60.00 60.00
Element x y z (fractional)
Sr  0.750  0.750  0.750
Zr  0.000  0.000  0.000
Be  0.909  0.364  0.364
Be  0.364  0.364  0.909
Be  0.364  0.909  0.364
Be  0.364  0.364  0.364

***

Entry 10:
Computed, not measured: crystalline Sr2ZrBe at its relaxed geometry at the PBE level of DFT.

Computed properties:
* ΔE_f: 0.7974 eV per atom
* space-group type: Cmmm, No. 65
* E: -3.112 eV per atom

Lattice parameters (Å, degrees): 5.917 5.917 3.578 89.99 89.99 109.25
Element x y z (fractional)
Sr  0.000  0.000  0.000
Sr  0.500  0.500  0.000
Zr  0.500  0.000  0.500
Be  0.000  0.500  0.500

***

Entry 11:
Computed, not measured: crystalline Sr2ZrBe at its relaxed geometry at the PBE level of DFT.

Computed properties:
* ΔE_f: 0.8112 eV per atom
* space-group type: I4/mmm, No. 139
* E: -3.098 eV per atom

Lattice parameters (Å, degrees): 6.096 6.096 6.096 134.66 134.66 66.06
Element x y z (fractional)
Sr  0.000  0.000  0.000
Sr  0.500  0.500  0.000
Zr  0.250  0.750  0.500
Be  0.750  0.250  0.500

***

Entry 12:
Computed, not measured: crystalline SrZr2Be at its relaxed geometry at the PBE level of DFT.

Computed properties:
* ΔE_f: 0.6886 eV per atom
* space-group type: I4/mmm, No. 139
* E: -4.938 eV per atom

Lattice parameters (Å, degrees): 5.676 5.676 5.676 134.34 134.34 66.56
Element x y z (fractional)
Sr  0.750  0.250  0.500
Zr  0.000  0.000  0.000
Zr  0.500  0.500  0.000
Be  0.250  0.750  0.500

***

- Look up the E of the fourth one.
  -1.448 eV per atom

***

- The highest E belongs to which entry?
  number 4

***

Repeat the eleventh record exactly.
Computed, not measured: crystalline Sr2ZrBe at its relaxed geometry at the PBE level of DFT.

Computed properties:
* ΔE_f: 0.8112 eV per atom
* space-group type: I4/mmm, No. 139
* E: -3.098 eV per atom

Lattice parameters (Å, degrees): 6.096 6.096 6.096 134.66 134.66 66.06
Element x y z (fractional)
Sr  0.000  0.000  0.000
Sr  0.500  0.500  0.000
Zr  0.250  0.750  0.500
Be  0.750  0.250  0.500